{"formula": "Li2Pm3Au4", "functional": "PBE", "state": "optimized geometry", "total_energy_ev_per_atom": -4.12, "spacegroup": "C2/m", "cell": [[5.092, -2.381, 0.000], [5.092, 2.381, 0.000], [-2.963, 0.000, 8.294]], "species": ["Li", "Li", "Pm", "Pm", "Pm", "Au", "Au", "Au", "Au"], "fractional_positions": [[0.188, 0.188, 0.358], [0.812, 0.812, 0.642], [0.136, 0.136, 0.702], [0.500, 0.500, 0.000], [0.864, 0.864, 0.298], [0.216, 0.216, 0.075], [0.420, 0.420, 0.614], [0.580, 0.580, 0.386], [0.784, 0.784, 0.925]]}

---

{"formula": "TbMgSc2Ga4", "functional": "PBE", "state": "optimized geometry", "total_energy_ev_per_atom": -4.35, "spacegroup": "R-3m", "cell": [[2.394, 1.382, 8.102], [-2.394, 1.382, 8.102], [0.000, -2.764, 8.102]], "species": ["Tb", "Mg", "Sc", "Sc", "Ga", "Ga", "Ga", "Ga"], "fractional_positions": [[0.000, 0.000, 0.000], [0.500, 0.500, 0.500], [0.244, 0.244, 0.244], [0.756, 0.756, 0.756], [0.125, 0.125, 0.125], [0.378, 0.378, 0.378], [0.622, 0.622, 0.622], [0.875, 0.875, 0.875]]}

---

{"formula": "RbSn4Pt4", "functional": "PBE", "state": "optimized geometry", "total_energy_ev_per_atom": -5.07, "spacegroup": "P4_2/n", "cell": [[9.186, 0.000, 0.000], [0.000, 9.186, 0.000], [0.000, 0.000, 5.338]], "species": ["Rb", "Rb", "Sn", "Sn", "Sn", "Sn", "Sn", "Sn", "Sn", "Sn", "Pt", "Pt", "Pt", "Pt", "Pt", "Pt", "Pt", "Pt"], "fractional_positions": [[0.250, 0.250, 0.250], [0.750, 0.750, 0.750], [0.120, 0.627, 0.167], [0.127, 0.880, 0.667], [0.373, 0.620, 0.667], [0.380, 0.873, 0.167], [0.620, 0.127, 0.833], [0.627, 0.380, 0.333], [0.873, 0.120, 0.333], [0.880, 0.373, 0.833], [0.078, 0.919, 0.173], [0.081, 0.578, 0.673], [0.419, 0.922, 0.673], [0.422, 0.581, 0.173], [0.578, 0.419, 0.827], [0.581, 0.078, 0.327], [0.919, 0.422, 0.327], [0.922, 0.081, 0.827]]}

---

{"formula": "In4GaHg2", "functional": "PBE", "state": "optimized geometry", "polymorph_energy_ev_per_atom": 0.148, "total_energy_ev_per_atom": -1.90, "spacegroup": "I4/mmm", "cell": [[5.420, 0.000, 0.000], [0.000, 5.420, 0.000], [0.000, 0.000, 15.019]], "species": ["In", "In", "In", "In", "In", "In", "In", "In", "Ga", "Ga", "Hg", "Hg", "Hg", "Hg"], "fractional_positions": [[0.000, 0.000, 0.187], [0.000, 0.000, 0.813], [0.000, 0.500, 0.000], [0.000, 0.500, 0.500], [0.500, 0.000, 0.000], [0.500, 0.000, 0.500], [0.500, 0.500, 0.313], [0.500, 0.500, 0.687], [0.000, 0.000, 0.000], [0.500, 0.500, 0.500], [0.000, 0.000, 0.382], [0.000, 0.000, 0.618], [0.500, 0.500, 0.118], [0.500, 0.500, 0.882]]}

---

{"formula": "Eu2GaPt", "functional": "PBE", "state": "optimized geometry", "total_energy_ev_per_atom": -7.68, "spacegroup": "R-3m", "cell": [[4.029, 0.000, 0.000], [-2.014, 3.489, 0.000], [0.000, 0.000, 29.601]], "species": ["Eu", "Eu", "Eu", "Eu", "Eu", "Eu", "Ga", "Ga", "Ga", "Pt", "Pt", "Pt"], "fractional_positions": [[0.000, 0.000, 0.108], [0.000, 0.000, 0.892], [0.333, 0.667, 0.558], [0.333, 0.667, 0.775], [0.667, 0.333, 0.225], [0.667, 0.333, 0.442], [0.000, 0.000, 0.000], [0.333, 0.667, 0.667], [0.667, 0.333, 0.333], [0.000, 0.000, 0.500], [0.333, 0.667, 0.167], [0.667, 0.333, 0.833]]}

---

{"formula": "KMo2", "functional": "PBE", "state": "optimized geometry", "polymorph_energy_ev_per_atom": 1.034, "total_energy_ev_per_atom": -5.91, "spacegroup": "P-62m", "cell": [[10.676, 0.000, 0.000], [-5.338, 9.246, 0.000], [0.000, 0.000, 3.113]], "species": ["K", "K", "K", "Mo", "Mo", "Mo", "Mo", "Mo", "Mo"], "fractional_positions": [[0.000, 0.000, 0.000], [0.333, 0.667, 0.500], [0.667, 0.333, 0.500], [0.000, 0.399, 0.500], [0.000, 0.557, 0.000], [0.399, 0.000, 0.500], [0.443, 0.443, 0.000], [0.557, 0.000, 0.000], [0.601, 0.601, 0.500]]}

---

Number 1: E_form -0.650 eV per atom. Number 2: E_form -0.476 eV per atom. Number 3: E_form -0.503 eV per atom. Number 4: E_form 0.181 eV per atom. Number 5: E_form -0.279 eV per atom. Number 6: E_form 1.672 eV per atom.